1.
Compound: KRb2Au
Source: the Alexandria database
Functional: GGA-PBE
Structure: optimized geometry

## Properties
E_form	-0.16	eV/f.u.
uncorrected energy	-1.618	eV per atom
total magnetic moment	0.0	μB per cell

Unit cell a=5.5483 b=5.9236 c=5.9236 alpha=90.00 beta=90.00 gamma=90.00
Closest atoms and distances in Å follow each position.
Element x y z (fractional)
K (0.5000, 0.5000, 0.5000)  8 Rb 4.06, 4 Au 4.19
Au (0.5000, 0.0000, 0.0000)  8 Rb 4.06, 4 K 4.19
Rb (0.0000, 0.0000, 0.5000)  4 K 4.06, 4 Au 4.06, 4 Rb 4.19
Rb (0.0000, 0.5000, 0.0000)  4 K 4.06, 4 Au 4.06, 4 Rb 4.19



2.
Compound: K5Rb4Au
Source: the Alexandria database
Functional: GGA-PBE
Structure: optimized geometry

## Properties
E_form	-0.58	eV/f.u.
uncorrected energy	-1.321	eV per atom
total magnetic moment	0.0	μB per cell

Unit cell a=6.7310 b=10.8350 c=10.8350 alpha=84.46 beta=71.90 gamma=71.90
Closest atoms and distances in Å follow each position.
Element x y z (fractional)
K (0.1604, 0.6772, 0.0000)  1 Au 3.32
K (0.1604, 0.0000, 0.6772)  1 Au 3.32
K (0.8376, 0.0000, 0.3228)  1 Au 3.32
K (0.8376, 0.3228, 0.0000)  1 Au 3.32
K (0.4989, 0.0000, 0.0000)  2 Au 3.37
Rb (0.8230, 0.6760, 0.6760)  7 K 4.72-4.94, 5 Rb 4.95-5.13
Rb (0.4990, 0.3240, 0.6760)  7 K 4.72-4.94, 5 Rb 4.95-5.13
Rb (0.4990, 0.6760, 0.3240)  7 K 4.72-4.94, 5 Rb 4.95-5.13
Rb (0.1750, 0.3240, 0.3240)  7 K 4.72-4.94, 5 Rb 4.95-5.13
Au (0.9989, 0.0000, 0.0000)  6 K 3.32-3.37



3.
Compound: K2Rb2Au
Source: the Alexandria database
Functional: GGA-PBE
Structure: optimized geometry

## Properties
E_form	-0.02	eV/f.u.
uncorrected energy	-1.486	eV per atom
total magnetic moment	0.0	μB per cell
offset from the most stable computed form	115	meV per atom

Unit cell a=9.1615 b=9.1615 c=7.6444 alpha=90.00 beta=90.00 gamma=90.00
Closest atoms and distances in Å follow each position.
Element x y z (fractional)
K (0.1755, 0.6755, 0.5000)  2 Rb 4.32, 5 K 4.55-4.78
K (0.6755, 0.8245, 0.5000)  2 Rb 4.32, 5 K 4.55-4.78
K (0.8245, 0.3245, 0.5000)  2 Rb 4.32, 5 K 4.55-4.78
K (0.3245, 0.1755, 0.5000)  2 Rb 4.32, 5 K 4.55-4.78
Au (0.0000, 0.0000, 0.0000)  4 Rb 3.40
Au (0.5000, 0.5000, 0.0000)  4 Rb 3.40
Rb (0.3307, 0.8307, 0.0000)  2 Au 3.40
Rb (0.8307, 0.6693, 0.0000)  2 Au 3.40
Rb (0.6693, 0.1693, 0.0000)  2 Au 3.40
Rb (0.1693, 0.3307, 0.0000)  2 Au 3.40



4.
Compound: K5Rb4Au3
Source: the Alexandria database
Functional: GGA-PBE
Structure: optimized geometry

## Properties
E_form	-1.39	eV/f.u.
uncorrected energy	-1.715	eV per atom
total magnetic moment	0.0	μB per cell

Unit cell a=6.5329 b=10.8132 c=9.8552 alpha=109.57 beta=90.00 gamma=107.58
Closest atoms and distances in Å follow each position.
Element x y z (fractional)
K (0.4367, 0.8735, 0.7716)  2 Au 3.36-3.52
K (0.0000, 0.0000, 0.5000)  2 Au 3.27
K (0.3393, 0.6786, 0.2319)  2 Au 3.44-3.51
K (0.6607, 0.3214, 0.7681)  2 Au 3.44-3.51
K (0.5633, 0.1265, 0.2284)  2 Au 3.36-3.52
Rb (0.8618, 0.7235, 0.0059)  3 Au 3.72, 3 K 3.98-4.07
Rb (0.8119, 0.6237, 0.5182)  1 Au 3.48
Rb (0.1881, 0.3763, 0.4818)  1 Au 3.48
Rb (0.1382, 0.2765, 0.9941)  3 Au 3.72, 3 K 3.98-4.07
Au (0.7166, 0.4332, 0.1481)  4 Rb 3.48-3.72, 2 K 3.51-3.52
Au (0.5000, 0.0000, 0.5000)  6 K 3.27-3.44
Au (0.2834, 0.5668, 0.8519)  4 Rb 3.48-3.72, 2 K 3.51-3.52



5.
Compound: K2Rb4Au
Source: the Alexandria database
Functional: GGA-PBE
Structure: optimized geometry

## Properties
E_form	-0.31	eV/f.u.
uncorrected energy	-1.379	eV per atom
total magnetic moment	0.0	μB per cell
offset from the most stable computed form	17	meV per atom

Unit cell a=6.8170 b=6.8170 c=12.3886 alpha=105.97 beta=105.97 gamma=90.00
Closest atoms and distances in Å follow each position.
Element x y z (fractional)
K (0.6523, 0.6523, 0.3046)  9 Rb 4.44-4.87
K (0.3477, 0.3477, 0.6954)  9 Rb 4.44-4.87
Au (0.0000, 0.0000, 0.0000)  6 Rb 3.41-3.50
Rb (0.8467, 0.8467, 0.6934)  1 Au 3.50
Rb (0.1533, 0.1533, 0.3066)  1 Au 3.50
Rb (0.0000, 0.5000, 0.0000)  2 Au 3.41
Rb (0.5000, 0.0000, 0.0000)  2 Au 3.41



6.
Compound: KRbAu2
Source: the Alexandria database
Functional: GGA-PBE
Structure: optimized geometry

## Properties
E_form	-1.22	eV/f.u.
uncorrected energy	-2.459	eV per atom
total magnetic moment	0.0	μB per cell
offset from the most stable computed form	0	meV per atom

Unit cell a=4.7452 b=4.8923 c=6.5649 alpha=90.00 beta=111.16 gamma=90.00
Closest atoms and distances in Å follow each position.
Element x y z (fractional)
K (0.4440, 0.5000, 0.4269)  7 Au 3.45-3.62
Rb (0.7256, 0.0000, 0.9902)  7 Au 3.52-3.54
Au (0.1488, 0.5000, 0.8359)  2 Au 2.96
Au (0.0126, 0.0000, 0.5651)  2 Au 2.96



7.
Compound: K6Rb3Au5
Source: the Alexandria database
Functional: GGA-PBE
Structure: optimized geometry

## Properties
E_form	-2.86	eV/f.u.
uncorrected energy	-2.053	eV per atom
total magnetic moment	0.0	μB per cell

Unit cell a=6.0565 b=10.5189 c=18.4466 alpha=90.00 beta=90.00 gamma=90.00
Closest atoms and distances in Å follow each position.
Element x y z (fractional)
K (0.0000, 0.9314, 0.8668)  5 Au 3.34-3.57
K (0.5000, 0.0686, 0.6332)  5 Au 3.34-3.57
K (0.5000, 0.4134, 0.8288)  4 Au 3.42-3.65
K (0.5000, 0.6573, 0.0000)  2 Au 3.09
K (0.0000, 0.3427, 0.5000)  2 Au 3.09
K (0.0000, 0.5866, 0.6712)  4 Au 3.42-3.65
K (0.0000, 0.5866, 0.3288)  4 Au 3.42-3.65
K (0.5000, 0.0712, 0.0000)  2 Au 3.35
K (0.0000, 0.9314, 0.1332)  5 Au 3.34-3.57
K (0.5000, 0.4134, 0.1712)  4 Au 3.42-3.65
K (0.0000, 0.9288, 0.5000)  2 Au 3.35
K (0.5000, 0.0686, 0.3668)  5 Au 3.34-3.57
Rb (0.0000, 0.2340, 0.7374)  5 Au 3.55-3.91, 3 K 3.91-3.95
Rb (0.5000, 0.7660, 0.2374)  5 Au 3.55-3.91, 3 K 3.91-3.95
Rb (0.5000, 0.7660, 0.7626)  5 Au 3.55-3.91, 3 K 3.91-3.95
Rb (0.0000, 0.3716, 0.0000)  3 Au 3.56-3.62
Rb (0.5000, 0.6284, 0.5000)  3 Au 3.56-3.62
Rb (0.0000, 0.2340, 0.2626)  5 Au 3.55-3.91, 3 K 3.91-3.95
Au (0.0000, 0.6000, 0.8578)  1 Au 2.89
Au (0.0000, 0.9111, 0.6816)  5 K 3.35-3.57, 3 Rb 3.55-3.71
Au (0.0000, 0.7161, 0.0000)  2 Au 2.89, 2 K 3.09
Au (0.5000, 0.4000, 0.6422)  1 Au 2.89
Au (0.5000, 0.2839, 0.5000)  2 Au 2.89, 2 K 3.09
Au (0.0000, 0.6000, 0.1422)  1 Au 2.89
Au (0.5000, 0.4000, 0.3578)  1 Au 2.89
Au (0.0000, 0.9111, 0.3184)  5 K 3.35-3.57, 3 Rb 3.55-3.71
Au (0.5000, 0.0889, 0.8184)  5 K 3.35-3.57, 3 Rb 3.55-3.71
Au (0.5000, 0.0889, 0.1816)  5 K 3.35-3.57, 3 Rb 3.55-3.71



8.
Compound: K12Rb3Au
Source: the Alexandria database
Functional: GGA-PBE
Structure: optimized geometry

## Properties
E_form	0.02	eV/f.u.
uncorrected energy	-1.208	eV per atom
total magnetic moment	0.0	μB per cell

Unit cell a=6.5043 b=6.5043 c=25.3117 alpha=90.00 beta=90.00 gamma=90.00
Closest atoms and distances in Å follow each position.
Element x y z (fractional)
K (0.5000, 0.5000, 0.0000)  8 K 3.95
K (0.5000, 0.5000, 0.2253)  4 Rb 4.60, 8 K 4.75-4.76
K (0.5000, 0.5000, 0.5000)  4 Rb 4.60, 8 K 4.76
K (0.5000, 0.5000, 0.7747)  4 Rb 4.60, 8 K 4.75-4.76
K (0.5000, 0.0000, 0.0885)  2 Au 3.95, 2 K 3.95
K (0.5000, 0.0000, 0.3626)  8 K 4.60-4.76, 4 Rb 4.76
K (0.5000, 0.0000, 0.6374)  8 K 4.60-4.76, 4 Rb 4.76
K (0.5000, 0.0000, 0.9115)  2 Au 3.95, 2 K 3.95
K (0.0000, 0.5000, 0.0885)  2 K 3.95, 2 Au 3.95
K (0.0000, 0.5000, 0.3626)  8 K 4.60-4.76, 4 Rb 4.76
K (0.0000, 0.5000, 0.6374)  8 K 4.60-4.76, 4 Rb 4.76
K (0.0000, 0.5000, 0.9115)  2 K 3.95, 2 Au 3.95
Rb (0.0000, 0.0000, 0.2251)  12 K 4.60-4.76
Rb (0.0000, 0.0000, 0.5000)  12 K 4.60-4.76
Rb (0.0000, 0.0000, 0.7749)  12 K 4.60-4.76
Au (0.0000, 0.0000, 0.0000)  8 K 3.95



9.
Compound: K6RbAu
Source: the Alexandria database
Functional: GGA-PBE
Structure: optimized geometry

## Properties
E_form	-0.48	eV/f.u.
uncorrected energy	-1.414	eV per atom
total magnetic moment	0.0	μB per cell
offset from the most stable computed form	0	meV per atom

Unit cell a=8.3433 b=8.3433 c=8.3290 alpha=100.72 beta=100.72 gamma=100.86
Closest atoms and distances in Å follow each position.
Element x y z (fractional)
K (0.2212, 0.2212, 0.5947)  1 Au 3.28
K (0.5912, 0.2198, 0.2211)  1 Au 3.28
K (0.7788, 0.7788, 0.4053)  1 Au 3.28
K (0.7802, 0.4088, 0.7789)  1 Au 3.28
K (0.4088, 0.7802, 0.7789)  1 Au 3.28
K (0.2198, 0.5912, 0.2211)  1 Au 3.28
Rb (0.0000, 0.0000, 0.0000)  12 K 4.64-4.82
Au (0.5000, 0.5000, 0.5000)  6 K 3.28



10.
Compound: KRb3Au2
Source: the Alexandria database
Functional: GGA-PBE
Structure: optimized geometry

## Properties
E_form	-0.73	eV/f.u.
uncorrected energy	-1.880	eV per atom
total magnetic moment	0.0	μB per cell
offset from the most stable computed form	94	meV per atom

Unit cell a=9.4430 b=9.4430 c=9.4430 alpha=60.44 beta=60.44 gamma=60.44
Closest atoms and distances in Å follow each position.
Element x y z (fractional)
K (0.5000, 0.5000, 0.5000)  2 Au 3.29
K (0.0000, 0.0000, 0.0000)  2 Au 3.29
Rb (0.4821, 0.0179, 0.7500)  4 Au 3.55-3.78
Rb (0.0179, 0.7500, 0.4821)  4 Au 3.55-3.78
Rb (0.7500, 0.4821, 0.0179)  4 Au 3.55-3.78
Rb (0.5179, 0.9821, 0.2500)  4 Au 3.55-3.78
Rb (0.9821, 0.2500, 0.5179)  4 Au 3.55-3.78
Rb (0.2500, 0.5179, 0.9821)  4 Au 3.55-3.78
Au (0.3571, 0.3571, 0.3571)  1 K 3.29, 3 Rb 3.55
Au (0.1429, 0.1429, 0.1429)  1 K 3.29, 3 Rb 3.55
Au (0.8571, 0.8571, 0.8571)  1 K 3.29, 3 Rb 3.55
Au (0.6429, 0.6429, 0.6429)  1 K 3.29, 3 Rb 3.55



11.
Compound: K6RbAu2
Source: the Alexandria database
Functional: GGA-PBE
Structure: optimized geometry

## Properties
E_form	-1.00	eV/f.u.
uncorrected energy	-1.679	eV per atom
total magnetic moment	0.0	μB per cell

Unit cell a=6.2937 b=9.1383 c=9.1383 alpha=72.85 beta=69.84 gamma=69.84
Closest atoms and distances in Å follow each position.
Element x y z (fractional)
K (0.2068, 0.1273, 0.4594)  3 K 3.60-3.82, 3 Au 3.63-3.74
K (0.7932, 0.8727, 0.5406)  3 K 3.60-3.82, 3 Au 3.63-3.74
K (0.7932, 0.5406, 0.8727)  3 K 3.60-3.82, 3 Au 3.63-3.74
K (0.5000, 0.6707, 0.3293)  2 Au 3.50, 1 K 3.71
K (0.5000, 0.3293, 0.6707)  2 Au 3.50, 1 K 3.71
K (0.2068, 0.4594, 0.1273)  3 K 3.60-3.82, 3 Au 3.63-3.74
Rb (0.0000, 0.0000, 0.0000)  2 Au 3.68
Au (0.2770, 0.7230, 0.7230)  8 K 3.50-3.74, 1 Rb 3.68
Au (0.7230, 0.2770, 0.2770)  8 K 3.50-3.74, 1 Rb 3.68



12.
Compound: KRb11Au5
Source: the Alexandria database
Functional: GGA-PBE
Structure: optimized geometry

## Properties
E_form	-2.64	eV/f.u.
uncorrected energy	-1.810	eV per atom
total magnetic moment	0.0	μB per cell

Unit cell a=8.6952 b=10.5901 c=10.5901 alpha=101.47 beta=99.11 gamma=99.11
Closest atoms and distances in Å follow each position.
Element x y z (fractional)
K (0.0000, 0.0000, 0.0000)  10 Rb 4.35-4.75, 4 Au 4.59
Rb (0.3729, 0.6721, 0.6721)  3 Au 3.48-3.64
Rb (0.6271, 0.3279, 0.3279)  3 Au 3.48-3.64
Rb (0.6747, 0.1367, 0.6703)  3 Au 3.49-3.68
Rb (0.3253, 0.8633, 0.3297)  3 Au 3.49-3.68
Rb (0.3253, 0.3297, 0.8633)  3 Au 3.49-3.68
Rb (0.6747, 0.6703, 0.1367)  3 Au 3.49-3.68
Rb (0.5000, 0.0000, 0.0000)  4 Au 3.70
Rb (0.8995, 0.8096, 0.5420)  3 Au 3.49-3.67
Rb (0.1005, 0.1904, 0.4580)  3 Au 3.49-3.67
Rb (0.1005, 0.4580, 0.1904)  3 Au 3.49-3.67
Rb (0.8995, 0.5420, 0.8096)  3 Au 3.49-3.67
Au (0.7170, 0.0041, 0.3317)  7 Rb 3.49-3.70
Au (0.2830, 0.9959, 0.6683)  7 Rb 3.49-3.70
Au (0.2830, 0.6683, 0.9959)  7 Rb 3.49-3.70
Au (0.7170, 0.3317, 0.0041)  7 Rb 3.49-3.70
Au (0.0000, 0.5000, 0.5000)  6 Rb 3.48-3.49